Record 1
This record from the Alexandria database describes crystalline KLi2Te4 at its relaxed geometry. The functional is GGA-PBE.

```
7
Lattice="-2.846 2.846 8.236 2.846 -2.846 8.236 2.846 2.846 -8.236" Properties=species:S:1:pos:R:3 pbc="T T T"
K 0.000 0.000 0.000
Li 0.000 0.000 6.697
Li 0.000 0.000 9.775
Te 2.846 0.000 0.000
Te 0.000 0.000 3.973
Te 0.000 2.846 0.000
Te 0.000 0.000 12.500
```

Results
Space-group type: I4/mmm, No. 139
Crystal system: tetragonal

Record 2
This record from the Alexandria database describes crystalline KLiTe2 at its relaxed geometry. The functional is GGA-PBE.

```
16
Lattice="9.157 0.000 0.000 0.000 5.058 0.000 0.000 0.000 11.426" Properties=species:S:1:pos:R:3 pbc="T T T"
K 0.752 1.264 1.802
K 3.826 3.793 7.515
K 5.330 1.264 3.912
K 8.404 3.793 9.625
Li 0.853 3.793 4.710
Li 3.725 1.264 10.423
Li 5.431 3.793 1.003
Li 8.303 1.264 6.716
Te 1.475 1.264 8.419
Te 1.977 1.264 5.623
Te 2.602 3.793 11.336
Te 3.104 3.793 2.706
Te 6.053 1.264 8.720
Te 6.555 1.264 0.090
Te 7.180 3.793 5.803
Te 7.682 3.793 3.007
```

Results
Space-group type: Pnma, No. 62
Crystal system: orthorhombic

Record 3
This record from the Alexandria database describes crystalline KLiTe2 at its relaxed geometry. The functional is GGA-PBE.

```
4
Lattice="4.554 -1.920 0.000 4.554 1.920 0.000 -1.506 0.000 7.215" Properties=species:S:1:pos:R:3 pbc="T T T"
K 0.000 0.000 0.000
Li 3.801 0.000 3.608
Te 1.136 0.000 4.857
Te 6.466 0.000 2.358
```

Results
Space-group type: C2/m, No. 12
Crystal system: monoclinic

Record 4
This record from the Alexandria database describes crystalline KLi3Te3 at its relaxed geometry. The functional is GGA-PBE.

```
14
Lattice="7.618 0.000 0.000 0.000 7.618 0.000 0.000 0.000 7.618" Properties=species:S:1:pos:R:3 pbc="T T T"
K 0.000 0.000 0.000
K 3.809 3.809 3.809
Li 0.000 1.905 3.809
Li 0.000 5.714 3.809
Li 1.905 3.809 0.000
Li 3.809 0.000 1.905
Li 3.809 0.000 5.714
Li 5.714 3.809 0.000
Te 0.000 3.809 1.905
Te 0.000 3.809 5.714
Te 1.905 0.000 3.809
Te 3.809 1.905 0.000
Te 3.809 5.714 0.000
Te 5.714 0.000 3.809
```

Results
Space-group type: Pm-3n, No. 223
Crystal system: cubic

Number 1: raw formation energy 108.1 meV per atom, calculated volume 38.132 A^3/atom. Number 2: raw formation energy -793.7 meV per atom, calculated volume 33.071 A^3/atom. Number 3: raw formation energy -604.0 meV per atom, calculated volume 31.553 A^3/atom. Number 4: raw formation energy -672.6 meV per atom, calculated volume 31.583 A^3/atom.